Pa3Ge4Pt2 after structural relaxation, computed with PBE.

Output
total energy = -7.254 eV per atom
formation enthalpy at 0 K = -6.245 eV per formula unit

Cell lengths 10.703, 4.317, 8.290 Å; angles 90.00, 102.62, 90.00 degrees
Space group C2/m (No. 12)
One atom of each set of equivalent atoms:
Pa1 0.000 0.000 0.000 [2 per cell]
Pa2 0.171 0.500 0.668 [4 per cell]
Ge1 0.037 0.000 0.368 [4 per cell]
Ge2 0.211 0.500 0.046 [4 per cell]
Pt1 0.133 0.500 0.309 [4 per cell]